5
Lattice="7.014 0.000 0.000 0.000 7.014 0.000 0.000 0.000 7.049" Properties=species:S:1:pos:R:3 comment="CsCdTeI2 GGA-PBEsol optimized geometry" total_energy_ev_per_cell=-7.2 raw_formation_energy_ev_per_atom=0.402 space_group=P4/mmm e_above_lowest_polymorph_mev_per_atom=995 pbc="T T T"
Cs 0.000 0.000 0.000
Cd 3.507 3.507 3.524
Te 0.000 0.000 3.524
I 0.000 3.507 0.000
I 3.507 0.000 0.000

=====

5
Lattice="-1.903 1.903 8.172 1.903 -1.903 8.172 1.903 1.903 -8.172" Properties=species:S:1:pos:R:3 comment="Ag2Bi2Se GGA-PBEsol optimized geometry" total_energy_ev_per_cell=-18.6 raw_formation_energy_ev_per_atom=0.092 space_group=I4/mmm pbc="T T T"
Ag 1.903 0.000 4.086
Ag 0.000 1.903 4.086
Bi 0.000 0.000 1.712
Bi 0.000 0.000 14.632
Se 0.000 0.000 8.172

=====

4
Lattice="1.968 1.136 7.102 -1.968 1.136 7.102 0.000 -2.272 7.102" Properties=species:S:1:pos:R:3 comment="Y2CuBr GGA-PBEsol optimized geometry" total_energy_ev_per_cell=-22.5 raw_formation_energy_ev_per_atom=-0.655 space_group=R-3m e_above_lowest_polymorph_mev_per_atom=0 pbc="T T T"
Y 0.000 0.000 5.097
Y 0.000 0.000 16.208
Cu 0.000 0.000 10.653
Br 0.000 0.000 0.000

=====

8
Lattice="-2.917 2.917 5.523 2.917 -2.917 5.523 2.917 2.917 -5.523" Properties=species:S:1:pos:R:3 comment="CuBiS2 GGA-PBEsol optimized geometry" total_energy_ev_per_cell=-36.2 raw_formation_energy_ev_per_atom=-0.182 space_group=I-42d pbc="T T T"
Cu 0.000 0.000 0.000
Cu 0.000 2.917 2.762
Bi 2.917 0.000 2.762
Bi 0.000 0.000 5.523
S 4.375 1.078 -1.381
S 1.078 1.458 1.381
S -1.458 1.839 4.143
S 1.839 1.458 6.904

=====

6
Lattice="0.000 4.052 4.052 4.052 0.000 4.052 4.052 4.052 0.000" Properties=species:S:1:pos:R:3 comment="TlAuSe4 GGA-PBEsol optimized geometry" total_energy_ev_per_cell=-19.5 raw_formation_energy_ev_per_atom=0.416 space_group=F-43m pbc="T T T"
Tl 0.000 0.000 0.000
Au 2.026 2.026 2.026
Se 5.049 3.056 3.056
Se 3.056 5.049 3.056
Se 3.056 3.056 5.049
Se 5.049 5.049 5.049

=====

4
Lattice="2.833 0.000 0.000 0.000 2.833 0.000 0.000 0.000 6.278" Properties=species:S:1:pos:R:3 comment="Cr2ReRu GGA-PBEsol optimized geometry" total_energy_ev_per_cell=-43.6 space_group=P4mm ef_ev_per_atom=0.10 pbc="T T T"
Cr 0.000 0.000 0.000
Cr 1.417 1.417 1.162
Re 0.000 0.000 2.866
Ru 1.417 1.417 4.618